## P
The following is a DFT calculation (GGA-PBE) of a relaxed structure of CoI3N.

Lattice parameters (Å, degrees): 5.161 5.161 5.161 90.00 90.00 90.00
Fractional coordinates of all 5 atoms:
Co 0.000 0.000 0.000
I 0.000 0.000 0.500
I 0.000 0.500 0.000
I 0.500 0.000 0.000
N 0.500 0.500 0.500

Summary:
M_tot	1.23	μB per formula unit
V	27.49	A^3/atom



## Q
The following is a DFT calculation (GGA-PBE) of a relaxed structure of CoI3N.

Lattice parameters (Å, degrees): 5.002 5.002 5.002 90.00 90.00 90.00
Fractional coordinates of all 5 atoms:
Co 0.000 0.000 0.000
I 0.000 0.500 0.500
I 0.500 0.000 0.500
I 0.500 0.500 0.000
N 0.500 0.500 0.500

Summary:
M_tot	2.63	μB per formula unit
V	25.03	A^3/atom



Name the most stable of them. Q.



## P
The following is a DFT calculation (GGA-PBE) of a relaxed structure of CoOsIN2.

Lattice parameters (Å, degrees): 3.642 3.642 6.391 90.00 90.00 90.00
Fractional coordinates of all 5 atoms:
Co 0.000 0.000 0.000
Os 0.500 0.500 0.500
I 0.000 0.000 0.500
N 0.000 0.500 0.000
N 0.500 0.000 0.000

Summary:
M_tot	0.83	μB per formula unit
V	16.95	A^3/atom



## Q
The following is a DFT calculation (GGA-PBE) of a relaxed structure of CoOsIN2.

Lattice parameters (Å, degrees): 3.789 3.789 6.054 90.00 90.00 90.00
Fractional coordinates of all 5 atoms:
Co 0.000 0.000 0.000
Os 0.500 0.500 0.500
I 0.500 0.500 0.000
N 0.000 0.500 0.500
N 0.500 0.000 0.500

Summary:
M_tot	2.12	μB per formula unit
V	17.38	A^3/atom



Name the most stable of them. Q.



## P
The following is a DFT calculation (GGA-PBE) of a relaxed structure of CoPIN2.

Lattice parameters (Å, degrees): 3.635 3.635 7.816 90.00 90.00 90.00
Fractional coordinates of all 5 atoms:
Co 0.000 0.000 0.000
P 0.500 0.500 0.500
I 0.000 0.000 0.500
N 0.000 0.500 0.000
N 0.500 0.000 0.000

Summary:
M_tot	0.43	μB per formula unit
V	20.66	A^3/atom



## Q
The following is a DFT calculation (GGA-PBE) of a relaxed structure of CoPIN2.

Lattice parameters (Å, degrees): 3.446 3.446 7.883 90.00 90.00 90.00
Fractional coordinates of all 5 atoms:
Co 0.000 0.000 0.000
P 0.500 0.500 0.500
I 0.500 0.500 0.000
N 0.000 0.500 0.500
N 0.500 0.000 0.500

Summary:
M_tot	1.32	μB per formula unit
V	18.73	A^3/atom



Name the most stable of them. Q.